(1)
# KTiB2

A geometry-optimized KTiB2 structure (PBE, Alexandria).

a b c (Å): 4.659 4.659 8.214
angles (deg): 73.52 73.52 90.00
Sites, in units of the cell vectors:
K  0.500  0.500  0.000
B  0.875  0.125  0.750
B  0.875  0.625  0.250
Ti  0.750  0.250  0.500
K  0.250  0.750  0.500
B  0.375  0.125  0.750
Ti  0.000  0.000  0.000
B  0.875  0.125  0.250

VASP energy = -4.40 eV/atom
N(E_F) = 8.36 states/eV/cell
crystal system = tetragonal

***

(2)
# KTiB

A geometry-optimized KTiB structure (PBE, Alexandria).

a b c (Å): 3.633 3.633 12.330
angles (deg): 90.00 90.00 120.00
Sites, in units of the cell vectors:
B  0.333  0.667  0.294
Ti  0.000  0.000  0.252
Ti  0.000  0.000  0.748
K  0.667  0.333  0.500
K  0.667  0.333  0.000
B  0.333  0.667  0.706

VASP energy = -4.48 eV/atom
N(E_F) = 6.26 states/eV/cell
crystal system = hexagonal

***

(3)
# KTiB

A geometry-optimized KTiB structure (PBE, Alexandria).

a b c (Å): 5.445 5.445 8.309
angles (deg): 90.00 90.00 120.00
Sites, in units of the cell vectors:
K  0.333  0.667  0.250
Ti  0.000  0.000  0.000
B  0.000  0.000  0.750
K  0.667  0.333  0.750
Ti  0.000  0.000  0.500
B  0.000  0.000  0.250

VASP energy = -3.69 eV/atom
N(E_F) = 15.80 states/eV/cell
crystal system = hexagonal

***

(4)
# KTiB

A geometry-optimized KTiB structure (PBE, Alexandria).

a b c (Å): 4.277 12.066 3.107
angles (deg): 90.88 111.33 93.62
Sites, in units of the cell vectors:
K  0.692  0.326  0.032
B  0.701  0.083  0.022
B  0.853  0.109  0.599
Ti  0.263  0.064  0.301
Ti  0.813  0.927  0.568
K  0.268  0.679  0.784

VASP energy = -5.09 eV/atom
N(E_F) = 3.64 states/eV/cell
crystal system = triclinic

***

(5)
# KTiB

A geometry-optimized KTiB structure (PBE, Alexandria).

a b c (Å): 3.744 3.744 11.692
angles (deg): 90.00 90.00 120.00
Sites, in units of the cell vectors:
K  0.000  0.000  0.000
Ti  0.667  0.333  0.250
B  0.667  0.333  0.750
Ti  0.333  0.667  0.750
B  0.333  0.667  0.250
K  0.000  0.000  0.500

VASP energy = -4.46 eV/atom
N(E_F) = 9.42 states/eV/cell
crystal system = hexagonal

***

(6)
# KTi3B

A geometry-optimized KTi3B structure (PBE, Alexandria).

a b c (Å): 4.571 4.571 4.571
angles (deg): 90.00 90.00 90.00
Sites, in units of the cell vectors:
B  0.000  0.000  0.000
Ti  0.500  0.000  0.000
Ti  0.000  0.500  0.000
K  0.500  0.500  0.500
Ti  0.000  0.000  0.500

VASP energy = -5.61 eV/atom
N(E_F) = 8.27 states/eV/cell
crystal system = cubic

***

(7)
# KTiB

A geometry-optimized KTiB structure (PBE, Alexandria).

a b c (Å): 11.939 4.253 4.253
angles (deg): 105.28 111.18 68.82
Sites, in units of the cell vectors:
K  0.343  0.794  0.206
B  0.994  0.221  0.104
K  0.754  0.942  0.058
B  0.994  0.896  0.779
Ti  0.045  0.312  0.688
Ti  0.057  0.716  0.284

VASP energy = -5.01 eV/atom
N(E_F) = 4.00 states/eV/cell
crystal system = monoclinic

***

(8)
# KTiB

A geometry-optimized KTiB structure (PBE, Alexandria).

a b c (Å): 4.218 4.218 9.453
angles (deg): 90.00 90.00 90.00
Sites, in units of the cell vectors:
K  0.500  0.000  0.799
Ti  0.500  0.000  0.442
K  0.000  0.500  0.201
B  0.500  0.500  0.500
Ti  0.000  0.500  0.558
B  0.000  0.000  0.500

VASP energy = -4.93 eV/atom
N(E_F) = 4.48 states/eV/cell
crystal system = tetragonal

***

The ΔE_f results, record by record, are as follows: 1.190, 0.747, 1.538, 0.135, 0.765, 0.683, 0.212, 0.295 eV/atom.